Record 1
Below is Ni2BrCl after structural relaxation, with properties calculated at the PBE level.

a b c (Å): 5.359 5.359 6.655
angles (deg): 66.26 66.26 90.00
Each line ends with the local moment (μB).
Fractional positions:
Br: 0.000 0.000 0.000  0.11
Ni: 0.375 0.405 0.750  0.92
Ni: 0.155 0.625 0.250  0.88
Br: 0.750 0.250 0.500  0.11
Ni: 0.595 0.125 0.250  0.87
Ni: 0.875 0.845 0.750  0.84
Cl: 0.250 0.750 0.500  0.10
Cl: 0.500 0.500 0.000  0.10

The calculation puts the uncorrected formation energy at 0.026 eV/atom. For the total magnetization, the calculation gives 2.0 μB per formula unit.

Record 2
Below is Ni2BrCl after structural relaxation, with properties calculated at the PBE level.

a b c (Å): 3.188 4.486 4.486
angles (deg): 90.00 90.00 90.00
Each line ends with the local moment (μB).
Fractional positions:
Ni: 0.000 0.500 0.500  0.87
Cl: 0.500 0.000 0.500  0.15
Ni: 0.000 0.000 0.000  0.87
Br: 0.500 0.500 0.000  0.16

The calculation puts the uncorrected formation energy at 0.472 eV/atom. For the total magnetization, the calculation gives 2.0 μB per formula unit.

Record 3
Below is NiBr2Cl after structural relaxation, with properties calculated at the PBE level.

a b c (Å): 2.947 3.221 10.822
angles (deg): 90.00 90.00 90.00
Each line ends with the local moment (μB).
Fractional positions:
Br: 0.000 0.000 0.902  0.20
Br: 0.500 0.500 0.257  0.00
Cl: 0.000 0.000 0.612  0.23
Ni: 0.500 0.500 0.730  1.23

The calculation puts the uncorrected formation energy at 0.179 eV/atom. For the total magnetization, the calculation gives 1.7 μB per formula unit.

Record 4
Below is NiBr2Cl6 after structural relaxation, with properties calculated at the PBE level.

a b c (Å): 6.692 10.256 10.256
angles (deg): 70.54 70.85 70.85
Each line ends with the local moment (μB).
Fractional positions:
Br: 0.445 0.529 0.742  0.00
Cl: 0.065 0.441 0.276  0.00
Br: 0.555 0.471 0.258  0.00
Cl: 0.969 0.948 0.305  0.01
Br: 0.945 0.742 0.529  0.00
Ni: 0.750 0.164 0.836  0.60
Br: 0.055 0.258 0.471  0.00
Cl: 0.040 0.791 0.079  0.18
Cl: 0.531 0.695 0.052  0.01
Cl: 0.469 0.305 0.948  0.01
Cl: 0.540 0.079 0.791  0.18
Cl: 0.031 0.052 0.695  0.01
Cl: 0.935 0.559 0.724  0.00
Cl: 0.460 0.921 0.209  0.18
Cl: 0.435 0.724 0.559  0.00
Cl: 0.960 0.209 0.921  0.18
Ni: 0.250 0.836 0.164  0.60
Cl: 0.565 0.276 0.441  0.00

The calculation puts the uncorrected formation energy at -0.125 eV/atom. For the total magnetization, the calculation gives 1.1 μB per formula unit.

Record 5
Below is NiBr2Cl after structural relaxation, with properties calculated at the PBE level.

a b c (Å): 4.903 4.903 4.903
angles (deg): 60.00 60.00 60.00
Each line ends with the local moment (μB).
Fractional positions:
Ni: 0.500 0.500 0.500  1.24
Cl: 0.000 0.000 0.000  0.24
Br: 0.250 0.250 0.250  0.28
Br: 0.750 0.750 0.750  0.28

The calculation puts the uncorrected formation energy at 0.636 eV/atom. For the total magnetization, the calculation gives 2.2 μB per formula unit.

Record 6
Below is NiBr2Cl after structural relaxation, with properties calculated at the PBE level.

a b c (Å): 4.096 4.096 6.735
angles (deg): 90.00 90.00 104.89
Each line ends with the local moment (μB).
Fractional positions:
Ni: 0.000 0.500 0.500  1.09
Cl: 0.500 0.000 0.500  0.03
Br: 0.000 0.000 0.000  0.01
Br: 0.500 0.500 0.000  0.01

The calculation puts the uncorrected formation energy at 0.393 eV/atom. For the total magnetization, the calculation gives 1.2 μB per formula unit.

Record 7
Below is NiBr2Cl after structural relaxation, with properties calculated at the PBE level.

a b c (Å): 6.053 6.053 6.053
angles (deg): 147.58 101.97 87.05
Each line ends with the local moment (μB).
Fractional positions:
Br: 0.930 0.930 0.000  0.06
Cl: 0.250 0.750 0.500  0.32
Ni: 0.750 0.250 0.500  0.45
Br: 0.570 0.570 0.000  0.06

The calculation puts the uncorrected formation energy at -0.056 eV/atom. For the total magnetization, the calculation gives 1.0 μB per formula unit.

Record 8
Below is NiBr2Cl after structural relaxation, with properties calculated at the PBE level.

a b c (Å): 4.820 4.820 8.440
angles (deg): 90.00 90.00 138.64
Each line ends with the local moment (μB).
Fractional positions:
Ni: 0.500 0.500 0.750  0.43
Br: 0.000 0.000 0.937  0.05
Br: 0.000 0.000 0.563  0.05
Cl: 0.500 0.500 0.250  0.28

The calculation puts the uncorrected formation energy at -0.030 eV/atom. For the total magnetization, the calculation gives 0.9 μB per formula unit.

Record 9
Below is Ni3BrCl after structural relaxation, with properties calculated at the PBE level.

a b c (Å): 4.517 4.517 4.517
angles (deg): 90.00 90.00 90.00
Each line ends with the local moment (μB).
Fractional positions:
Br: 0.000 0.000 0.000  0.04
Cl: 0.500 0.500 0.500  0.12
Ni: 0.000 0.500 0.000  0.67
Ni: 0.500 0.000 0.000  0.68
Ni: 0.000 0.000 0.500  0.49

The calculation puts the uncorrected formation energy at 0.829 eV/atom. For the total magnetization, the calculation gives 2.0 μB per formula unit.

Record 10
Below is NiBr2Cl after structural relaxation, with properties calculated at the PBE level.

a b c (Å): 3.181 3.181 9.402
angles (deg): 90.00 90.00 90.00
Each line ends with the local moment (μB).
Fractional positions:
Ni: 0.500 0.500 0.750  1.25
Cl: 0.500 0.500 0.250  0.51
Br: 0.000 0.000 0.919  0.34
Br: 0.000 0.000 0.581  0.34

The calculation puts the uncorrected formation energy at 0.356 eV/atom. For the total magnetization, the calculation gives 2.7 μB per formula unit.

Record 11
Below is Ni4BrCl after structural relaxation, with properties calculated at the PBE level.

a b c (Å): 5.015 5.015 5.015
angles (deg): 60.00 60.00 60.00
Each line ends with the local moment (μB).
Fractional positions:
Ni: 0.625 0.625 0.625  0.81
Br: 0.250 0.250 0.250  0.10
Ni: 0.625 0.625 0.125  0.81
Ni: 0.625 0.125 0.625  0.81
Ni: 0.125 0.625 0.625  0.81
Cl: 0.000 0.000 0.000  0.10

The calculation puts the uncorrected formation energy at 0.710 eV/atom. For the total magnetization, the calculation gives 3.4 μB per formula unit.

Record 12
Below is Ni3BrCl after structural relaxation, with properties calculated at the PBE level.

a b c (Å): 4.334 4.334 4.334
angles (deg): 90.00 90.00 90.00
Each line ends with the local moment (μB).
Fractional positions:
Ni: 0.500 0.000 0.000  0.64
Br: 0.500 0.500 0.500  0.17
Cl: 0.000 0.000 0.000  0.06
Ni: 0.000 0.500 0.000  0.71
Ni: 0.000 0.000 0.500  0.46

The calculation puts the uncorrected formation energy at 0.653 eV/atom. For the total magnetization, the calculation gives 2.0 μB per formula unit.

Record 13
Below is NiBr2Cl after structural relaxation, with properties calculated at the PBE level.

a b c (Å): 5.912 6.278 10.282
angles (deg): 90.00 90.00 90.00
Each line ends with the local moment (μB).
Fractional positions:
Br: 0.778 0.429 0.421  0.11
Ni: 0.000 0.250 0.593  0.61
Br: 0.722 0.929 0.921  0.11
Cl: 0.750 0.391 0.750  0.05
Ni: 0.500 0.750 0.093  0.61
Br: 0.278 0.571 0.921  0.11
Br: 0.722 0.429 0.079  0.11
Br: 0.278 0.071 0.079  0.11
Ni: 0.500 0.250 0.907  0.61
Cl: 0.250 0.609 0.250  0.05
Cl: 0.750 0.891 0.250  0.05
Br: 0.222 0.071 0.421  0.11
Br: 0.778 0.929 0.579  0.11
Ni: 0.000 0.750 0.407  0.61
Cl: 0.250 0.109 0.750  0.05
Br: 0.222 0.571 0.579  0.11

The calculation puts the uncorrected formation energy at -0.272 eV/atom. For the total magnetization, the calculation gives 1.0 μB per formula unit.

Record 14
Below is Ni2BrCl after structural relaxation, with properties calculated at the PBE level.

a b c (Å): 4.488 4.488 4.488
angles (deg): 60.00 60.00 60.00
Each line ends with the local moment (μB).
Fractional positions:
Cl: 0.000 0.000 0.000  0.14
Ni: 0.750 0.750 0.750  0.87
Br: 0.500 0.500 0.500  0.17
Ni: 0.250 0.250 0.250  0.87

The calculation puts the uncorrected formation energy at 0.462 eV/atom. For the total magnetization, the calculation gives 2.0 μB per formula unit.

Record 15
Below is NiBr2Cl after structural relaxation, with properties calculated at the PBE level.

a b c (Å): 4.708 4.708 9.771
angles (deg): 90.00 90.00 141.12
Each line ends with the local moment (μB).
Fractional positions:
Br: 0.500 0.500 0.241  0.01
Cl: 0.000 0.000 0.594  0.02
Br: 0.000 0.000 0.917  0.02
Ni: 0.500 0.500 0.747  0.27

The calculation puts the uncorrected formation energy at -0.156 eV/atom. For the total magnetization, the calculation gives 0.4 μB per formula unit.

Record 16
Below is NiBr2Cl after structural relaxation, with properties calculated at the PBE level.

a b c (Å): 7.035 7.035 6.692
angles (deg): 58.29 58.29 90.00
Each line ends with the local moment (μB).
Fractional positions:
Br: 0.032 0.625 0.250  0.37
Br: 0.718 0.125 0.250  0.38
Ni: 0.750 0.250 0.500  1.35
Br: 0.875 0.968 0.750  0.38
Br: 0.375 0.282 0.750  0.39
Ni: 0.000 0.000 0.000  1.37
Cl: 0.500 0.500 0.000  0.49
Cl: 0.250 0.750 0.500  0.48

The calculation puts the uncorrected formation energy at 0.062 eV/atom. For the total magnetization, the calculation gives 3.0 μB per formula unit.

Record 17
Below is NiBr2Cl after structural relaxation, with properties calculated at the PBE level.

a b c (Å): 3.335 6.715 6.715
angles (deg): 45.85 90.00 90.00
Each line ends with the local moment (μB).
Fractional positions:
Br: 0.500 0.244 0.244  0.00
Cl: 0.000 0.625 0.625  0.03
Ni: 0.500 0.747 0.747  0.20
Br: 0.000 0.884 0.884  0.02

The calculation puts the uncorrected formation energy at -0.259 eV/atom. For the total magnetization, the calculation gives 0.3 μB per formula unit.

Record 18
Below is Ni2BrCl after structural relaxation, with properties calculated at the PBE level.

a b c (Å): 3.482 3.725 6.659
angles (deg): 91.00 90.00 90.00
Each line ends with the local moment (μB).
Fractional positions:
Ni: 0.000 0.966 0.071  0.90
Br: 0.000 0.285 0.384  0.13
Cl: 0.500 0.777 0.879  0.10
Ni: 0.500 0.473 0.165  0.89

The calculation puts the uncorrected formation energy at -0.128 eV/atom. For the total magnetization, the calculation gives 2.0 μB per formula unit.

Record 19
Below is NiBr2Cl after structural relaxation, with properties calculated at the PBE level.

a b c (Å): 7.675 7.675 7.675
angles (deg): 27.76 27.76 27.76
Each line ends with the local moment (μB).
Fractional positions:
Cl: 0.250 0.250 0.250  -0.15
Ni: 0.750 0.750 0.750  0.90
Br: 0.478 0.478 0.478  0.13
Br: 0.022 0.022 0.022  0.13

The calculation puts the uncorrected formation energy at -0.036 eV/atom. For the total magnetization, the calculation gives 1.0 μB per formula unit.

Record 20
Below is NiBr2Cl after structural relaxation, with properties calculated at the PBE level.

a b c (Å): 3.536 6.423 6.471
angles (deg): 43.58 90.00 90.00
Fractional positions:
Br: 0.000 0.887 0.883
Ni: 0.500 0.750 0.750
Br: 0.000 0.613 0.617
Cl: 0.500 0.250 0.250

The calculation puts the uncorrected formation energy at -0.243 eV/atom. For the total magnetization, the calculation gives 0.0 μB per formula unit.